# 1
# GGA-PBE Ta2WSe, relaxed
# DFT total energy	-9.288	eV/atom
# DOS(E_F)	0.8756	states/eV/atom
# raw formation energy	748	meV/atom
data_Ta2WSe
_cell_length_a 3.9817
_cell_length_b 3.9817
_cell_length_c 18.8003
_cell_angle_alpha 90.00
_cell_angle_beta 90.00
_cell_angle_gamma 90.00
_symmetry_space_group_name_H-M 'I -4 2 d'
_symmetry_Int_Tables_number 122
_symmetry_space_group_name_Hall 'I -4 2bw'
loop_
_atom_site_label
_atom_site_fract_x
_atom_site_fract_y
_atom_site_fract_z
Ta1 0.2419 0.2500 0.1250
W1 0.0000 0.0000 0.5000
Se1 0.0000 0.0000 0.0000

=====

# 2
# GGA-PBE TaW2Se, relaxed
# DFT total energy	-9.937	eV/atom
# DOS(E_F)	0.7344	states/eV/atom
# raw formation energy	374	meV/atom
data_TaW2Se
_cell_length_a 3.0534
_cell_length_b 4.1880
_cell_length_c 5.2623
_cell_angle_alpha 90.00
_cell_angle_beta 90.00
_cell_angle_gamma 90.00
_symmetry_space_group_name_H-M 'P m m 2'
_symmetry_Int_Tables_number 25
loop_
_symmetry_equiv_pos_as_xyz
'x,y,z'
'-x,-y,z'
'-x,y,z'
'x,-y,z'
loop_
_atom_site_label
_atom_site_fract_x
_atom_site_fract_y
_atom_site_fract_z
Ta1 0.0000 0.0000 0.0000
W1 0.0000 0.0000 0.4886
W2 0.5000 0.5000 0.2670
Se1 0.5000 0.5000 0.7619

=====

# 3
# GGA-PBE Zr2TaWSe, relaxed
# DFT total energy	-7.577	eV/atom
# DOS(E_F)	1.4770	states/eV/atom
# raw formation energy	1501	meV/atom
data_Zr2TaWSe
_cell_length_a 5.1534
_cell_length_b 5.1534
_cell_length_c 4.6663
_cell_angle_alpha 90.00
_cell_angle_beta 90.00
_cell_angle_gamma 90.00
_symmetry_space_group_name_H-M 'P 4/m m m'
_symmetry_Int_Tables_number 123
_symmetry_space_group_name_Hall '-P 4 2'
loop_
_atom_site_label
_atom_site_fract_x
_atom_site_fract_y
_atom_site_fract_z
Zr1 0.0000 0.5000 0.0000
Ta1 0.0000 0.0000 0.0000
W1 0.5000 0.5000 0.5000
Se1 0.0000 0.0000 0.5000

=====

# 4
# GGA-PBE YTa2Se2, relaxed
# energy above the lowest structure with this stoichiometry	0.0000	eV per atom
# DFT total energy	-7.892	eV/atom
# DOS(E_F)	0.5879	states/eV/atom
# raw formation energy	-465	meV/atom
data_YTa2Se2
_cell_length_a 3.9027
_cell_length_b 3.9027
_cell_length_c 13.7080
_cell_angle_alpha 90.00
_cell_angle_beta 90.00
_cell_angle_gamma 90.00
_symmetry_space_group_name_H-M 'I 4/m m m'
_symmetry_Int_Tables_number 139
_symmetry_space_group_name_Hall '-I 4 2'
loop_
_atom_site_label
_atom_site_fract_x
_atom_site_fract_y
_atom_site_fract_z
Y1 0.0000 0.0000 0.0000
Ta1 0.0000 0.5000 0.2500
Se1 0.0000 0.0000 0.3877

=====

# 5
# GGA-PBE YTaSe2, relaxed
# energy above the lowest structure with this stoichiometry	0.0280	eV per atom
# DFT total energy	-7.116	eV/atom
# DOS(E_F)	0.0005	states/eV/atom
# raw formation energy	-794	meV/atom
data_YTaSe2
_cell_length_a 6.7517
_cell_length_b 6.7517
_cell_length_c 6.7517
_cell_angle_alpha 90.00
_cell_angle_beta 90.00
_cell_angle_gamma 90.00
_symmetry_space_group_name_H-M 'F m -3 m'
_symmetry_Int_Tables_number 225
_symmetry_space_group_name_Hall '-F 4 2 3'
loop_
_atom_site_label
_atom_site_fract_x
_atom_site_fract_y
_atom_site_fract_z
Y1 0.0000 0.0000 0.0000
Ta1 0.0000 0.0000 0.5000
Se1 0.2500 0.2500 0.2500

=====

# 6
# GGA-PBE Y2TaSe, relaxed
# DFT total energy	-6.925	eV/atom
# DOS(E_F)	1.7022	states/eV/atom
# raw formation energy	141	meV/atom
data_Y2TaSe
_cell_length_a 8.5847
_cell_length_b 8.5847
_cell_length_c 5.4600
_cell_angle_alpha 90.00
_cell_angle_beta 90.00
_cell_angle_gamma 90.00
_symmetry_space_group_name_H-M 'I -4 2 d'
_symmetry_Int_Tables_number 122
_symmetry_space_group_name_Hall 'I -4 2bw'
loop_
_atom_site_label
_atom_site_fract_x
_atom_site_fract_y
_atom_site_fract_z
Y1 0.1823 0.2500 0.1250
Ta1 0.0000 0.0000 0.5000
Se1 0.0000 0.0000 0.0000

=====

# 7
# GGA-PBE Y2TaSe, relaxed
# DFT total energy	-7.437	eV/atom
# DOS(E_F)	1.0668	states/eV/atom
# raw formation energy	-371	meV/atom
data_Y2TaSe
_cell_length_a 4.5026
_cell_length_b 3.8479
_cell_length_c 10.9790
_cell_angle_alpha 90.00
_cell_angle_beta 90.00
_cell_angle_gamma 90.00
_symmetry_space_group_name_H-M 'A m m 2'
_symmetry_Int_Tables_number 38
loop_
_symmetry_equiv_pos_as_xyz
'x,y,z'
'-x,-y,z'
'-x,y,z'
'x,-y,z'
'x,y+1/2,z+1/2'
'-x,-y+1/2,z+1/2'
'-x,y+1/2,z+1/2'
'x,-y+1/2,z+1/2'
loop_
_atom_site_label
_atom_site_fract_x
_atom_site_fract_y
_atom_site_fract_z
Y1 0.0000 0.0000 0.0000
Y2 0.5000 0.0000 0.2883
Ta1 0.0000 0.0000 0.7243
Se1 0.5000 0.0000 0.5717

=====

# 8
# GGA-PBE YTaSe2, relaxed
# energy above the lowest structure with this stoichiometry	1.0539	eV per atom
# DFT total energy	-6.090	eV/atom
# DOS(E_F)	0.5894	states/eV/atom
# raw formation energy	231	meV/atom
data_YTaSe2
_cell_length_a 7.0030
_cell_length_b 7.0030
_cell_length_c 7.0030
_cell_angle_alpha 90.00
_cell_angle_beta 90.00
_cell_angle_gamma 90.00
_symmetry_space_group_name_H-M 'F -4 3 m'
_symmetry_Int_Tables_number 216
_symmetry_space_group_name_Hall 'F -4 2 3'
loop_
_atom_site_label
_atom_site_fract_x
_atom_site_fract_y
_atom_site_fract_z
Y1 0.0000 0.0000 0.0000
Ta1 0.2500 0.2500 0.7500
Se1 0.0000 0.0000 0.5000
Se2 0.2500 0.2500 0.2500

=====

# 9
# GGA-PBE Y2TaSe, relaxed
# DFT total energy	-6.787	eV/atom
# DOS(E_F)	0.7327	states/eV/atom
# raw formation energy	279	meV/atom
data_Y2TaSe
_cell_length_a 7.1879
_cell_length_b 7.1879
_cell_length_c 7.1879
_cell_angle_alpha 90.00
_cell_angle_beta 90.00
_cell_angle_gamma 90.00
_symmetry_space_group_name_H-M 'F -4 3 m'
_symmetry_Int_Tables_number 216
_symmetry_space_group_name_Hall 'F -4 2 3'
loop_
_atom_site_label
_atom_site_fract_x
_atom_site_fract_y
_atom_site_fract_z
Y1 0.0000 0.0000 0.0000
Y2 0.2500 0.2500 0.2500
Ta1 0.0000 0.0000 0.5000
Se1 0.2500 0.2500 0.7500

=====

# 10
# GGA-PBE YTa3Se, relaxed
# energy above the lowest structure with this stoichiometry	0.0000	eV per atom
# DFT total energy	-8.561	eV/atom
# DOS(E_F)	1.0144	states/eV/atom
# raw formation energy	540	meV/atom
data_YTa3Se
_cell_length_a 4.8187
_cell_length_b 4.8187
_cell_length_c 4.8187
_cell_angle_alpha 90.00
_cell_angle_beta 90.00
_cell_angle_gamma 90.00
_symmetry_space_group_name_H-M 'P m -3 m'
_symmetry_Int_Tables_number 221
_symmetry_space_group_name_Hall '-P 4 2 3'
loop_
_atom_site_label
_atom_site_fract_x
_atom_site_fract_y
_atom_site_fract_z
Y1 0.0000 0.0000 0.0000
Ta1 0.0000 0.5000 0.5000
Se1 0.5000 0.5000 0.5000

=====

# 11
# GGA-PBE YTaSe2, relaxed
# energy above the lowest structure with this stoichiometry	0.0833	eV per atom
# DFT total energy	-7.061	eV/atom
# DOS(E_F)	0.7676	states/eV/atom
# raw formation energy	-739	meV/atom
data_YTaSe2
_cell_length_a 3.4658
_cell_length_b 3.5108
_cell_length_c 7.1343
_cell_angle_alpha 90.00
_cell_angle_beta 90.00
_cell_angle_gamma 90.00
_symmetry_space_group_name_H-M 'P m m m'
_symmetry_Int_Tables_number 47
loop_
_symmetry_equiv_pos_as_xyz
'x,y,z'
'-x,-y,-z'
'-x,-y,z'
'x,y,-z'
'x,-y,-z'
'-x,y,z'
'-x,y,-z'
'x,-y,z'
loop_
_atom_site_label
_atom_site_fract_x
_atom_site_fract_y
_atom_site_fract_z
Y1 0.0000 0.0000 0.0000
Ta1 0.5000 0.0000 0.5000
Se1 0.5000 0.5000 0.2287

=====

# 12
# GGA-PBE YTaSe2, relaxed
# energy above the lowest structure with this stoichiometry	0.3200	eV per atom
# DFT total energy	-6.824	eV/atom
# DOS(E_F)	0.6874	states/eV/atom
# raw formation energy	-502	meV/atom
data_YTaSe2
_cell_length_a 3.6501
_cell_length_b 3.6501
_cell_length_c 26.8611
_cell_angle_alpha 90.00
_cell_angle_beta 90.00
_cell_angle_gamma 120.00
_symmetry_space_group_name_H-M 'R 3 m'
_symmetry_Int_Tables_number 160
_symmetry_space_group_name_Hall 'R 3 -2"'
loop_
_atom_site_label
_atom_site_fract_x
_atom_site_fract_y
_atom_site_fract_z
Y1 0.0000 0.0000 0.0000
Ta1 0.0000 0.0000 0.7672
Se1 0.0000 0.0000 0.2698
Se2 0.0000 0.0000 0.4893

=====

# 13
# GGA-PBE YTaSe2, relaxed
# energy above the lowest structure with this stoichiometry	0.0000	eV per atom
# DFT total energy	-7.144	eV/atom
# DOS(E_F)	0.7990	states/eV/atom
# raw formation energy	-822	meV/atom
data_YTaSe2
_cell_length_a 3.6565
_cell_length_b 3.6565
_cell_length_c 6.2807
_cell_angle_alpha 90.00
_cell_angle_beta 90.00
_cell_angle_gamma 90.00
_symmetry_space_group_name_H-M 'P 4 m m'
_symmetry_Int_Tables_number 99
loop_
_symmetry_equiv_pos_as_xyz
'x,y,z'
'-y,x,z'
'-x,-y,z'
'y,-x,z'
'-x,y,z'
'y,x,z'
'x,-y,z'
'-y,-x,z'
loop_
_atom_site_label
_atom_site_fract_x
_atom_site_fract_y
_atom_site_fract_z
Y1 0.0000 0.0000 0.0000
Ta1 0.5000 0.5000 0.6647
Se1 0.0000 0.0000 0.5231
Se2 0.5000 0.5000 0.1743

=====

# 14
# GGA-PBE Y2TaSe, relaxed
# DFT total energy	-6.979	eV/atom
# DOS(E_F)	1.6986	states/eV/atom
# raw formation energy	87	meV/atom
data_Y2TaSe
_cell_length_a 4.5490
_cell_length_b 4.5490
_cell_length_c 8.9806
_cell_angle_alpha 90.00
_cell_angle_beta 90.00
_cell_angle_gamma 90.00
_symmetry_space_group_name_H-M 'I 4/m m m'
_symmetry_Int_Tables_number 139
_symmetry_space_group_name_Hall '-I 4 2'
loop_
_atom_site_label
_atom_site_fract_x
_atom_site_fract_y
_atom_site_fract_z
Y1 0.0000 0.5000 0.2500
Ta1 0.0000 0.0000 0.0000
Se1 0.0000 0.0000 0.5000

=====

# 15
# GGA-PBE Y2TaSe, relaxed
# DFT total energy	-7.329	eV/atom
# DOS(E_F)	0.9942	states/eV/atom
# raw formation energy	-263	meV/atom
data_Y2TaSe
_cell_length_a 3.3160
_cell_length_b 5.4053
_cell_length_c 10.7057
_cell_angle_alpha 90.00
_cell_angle_beta 90.00
_cell_angle_gamma 90.00
_symmetry_space_group_name_H-M 'I m m 2'
_symmetry_Int_Tables_number 44
loop_
_symmetry_equiv_pos_as_xyz
'x,y,z'
'-x,-y,z'
'-x,y,z'
'x,-y,z'
'x+1/2,y+1/2,z+1/2'
'-x+1/2,-y+1/2,z+1/2'
'-x+1/2,y+1/2,z+1/2'
'x+1/2,-y+1/2,z+1/2'
loop_
_atom_site_label
_atom_site_fract_x
_atom_site_fract_y
_atom_site_fract_z
Y1 0.0000 0.0000 0.0000
Y2 0.0000 0.5000 0.1976
Ta1 0.0000 0.5000 0.7590
Se1 0.0000 0.0000 0.4539